First-principles (PBE) data for a relaxed structure of YMgSiPd, as listed in Alexandria.

Cell: 4.776 4.776 4.776 Å, 60.00 60.00 60.00°
Fractional positions:
Y (0.000, 0.000, 0.000)
Mg (0.500, 0.500, 0.500)
Si (0.250, 0.250, 0.250)
Pd (0.750, 0.750, 0.750)

Properties
ΔE_f (raw), eV per formula unit: -2.33